Entry from OQMD: a geometry-optimized FeNiHgGe structure (PBE-GGA).

Structure (POSCAR):
```
FeNiHgGe
1.0
0.000 3.093 3.093
3.093 0.000 3.093
3.093 3.093 0.000
Fe Ni Hg Ge
1 1 1 1
Direct
0.000 0.000 0.000
0.500 0.500 0.500
0.250 0.250 0.250
0.750 0.750 0.750
```

Values from the calculation:
As for the density: 10.88 g/cm³. For the calculated total energy, the calculation gives -4.44 eV/atom. For the distance to the lowest polymorph of the same formula, the calculation gives 0 meV per atom.